DFT (PBE-GGA) results for crystalline Pa3AuF2 at its relaxed geometry.

Values from the calculation:
The space group is No. 191. The calculation puts the density at 13.40 Mg/m³.

a = 6.081 Å, b = 6.081 Å, c = 3.590 Å
α = 90.00°, β = 90.00°, γ = 120.00°
Element x y z (fractional)
1 Pa 0.000 0.500 0.000
2 Pa 0.500 0.000 0.000
3 Pa 0.500 0.500 0.000
4 Au 0.000 0.000 0.500
5 F 0.333 0.667 0.500
6 F 0.667 0.333 0.500



DFT (PBE-GGA) results for crystalline LaInAg2 at its relaxed geometry.

Values from the calculation:
The space group is No. 194. The calculation puts the density at 8.05 Mg/m³.

a = 4.934 Å, b = 4.934 Å, c = 9.186 Å
α = 90.00°, β = 90.00°, γ = 120.00°
Element x y z (fractional)
1 La 0.333 0.667 0.250
2 La 0.667 0.333 0.750
3 In 0.000 0.000 0.000
4 In 0.000 0.000 0.500
5 Ag 0.333 0.667 0.590
6 Ag 0.333 0.667 0.910
7 Ag 0.667 0.333 0.090
8 Ag 0.667 0.333 0.410



DFT (PBE-GGA) results for crystalline ScAlReNi at its relaxed geometry.

Values from the calculation:
The space group is No. 216. The calculation puts the density at 8.62 Mg/m³.

a = 4.420 Å, b = 4.420 Å, c = 4.420 Å
α = 60.00°, β = 60.00°, γ = 60.00°
Element x y z (fractional)
1 Sc 0.000 0.000 0.000
2 Al 0.250 0.250 0.250
3 Re 0.750 0.750 0.750
4 Ni 0.500 0.500 0.500



DFT (PBE-GGA) results for crystalline KCdAs at its relaxed geometry.

Values from the calculation:
The space group is No. 186. The calculation puts the density at 3.86 Mg/m³.

a = 4.477 Å, b = 4.477 Å, c = 11.225 Å
α = 90.00°, β = 90.00°, γ = 120.00°
Element x y z (fractional)
1 K 0.333 0.667 0.000
2 K 0.667 0.333 0.500
3 Cd 0.000 0.000 0.232
4 Cd 0.000 0.000 0.732
5 As 0.333 0.667 0.700
6 As 0.667 0.333 0.200



DFT (PBE-GGA) results for crystalline La2Tb at its relaxed geometry.

Values from the calculation:
The formation enthalpy at 0 K comes out at 0.6358 eV per atom. The space group is No. 225. The calculation puts the density at 5.83 Mg/m³.

a = 5.603 Å, b = 5.603 Å, c = 5.603 Å
α = 60.00°, β = 60.00°, γ = 60.00°
Element x y z (fractional)
1 La 0.250 0.250 0.250
2 La 0.750 0.750 0.750
3 Tb 0.000 0.000 0.000



DFT (PBE-GGA) results for crystalline CsAuNO at its relaxed geometry.

Values from the calculation:
The space group is No. 26. The calculation puts the density at 7.41 Mg/m³.

a = 4.021 Å, b = 5.865 Å, c = 6.835 Å
α = 90.00°, β = 90.00°, γ = 90.00°
Element x y z (fractional)
1 Cs 0.000 0.078 0.000
2 Cs 0.000 0.922 0.500
3 Au 0.500 0.467 0.629
4 Au 0.500 0.533 0.129
5 N 0.500 0.326 0.363
6 N 0.500 0.674 0.863
7 O 0.000 0.381 0.668
8 O 0.000 0.619 0.168



DFT (PBE-GGA) results for crystalline MgPaBe at its relaxed geometry.

Values from the calculation:
The space group is No. 216. The calculation puts the density at 6.39 Mg/m³.

a = 4.597 Å, b = 4.597 Å, c = 4.597 Å
α = 60.00°, β = 60.00°, γ = 60.00°
Element x y z (fractional)
1 Mg 0.000 0.000 0.000
2 Pa 0.250 0.250 0.250
3 Be 0.750 0.750 0.750



DFT (PBE-GGA) results for crystalline LuIr2Pt at its relaxed geometry.

Values from the calculation:
The formation enthalpy at 0 K comes out at 0.1528 eV per atom. The space group is No. 216. The calculation puts the density at 14.55 Mg/m³.

a = 4.957 Å, b = 4.957 Å, c = 4.957 Å
α = 60.00°, β = 60.00°, γ = 60.00°
Element x y z (fractional)
1 Lu 0.000 0.000 0.000
2 Ir 0.250 0.250 0.250
3 Ir 0.500 0.500 0.500
4 Pt 0.750 0.750 0.750



DFT (PBE-GGA) results for crystalline Na2Mg2Zn2PtAu at its relaxed geometry.

Values from the calculation:
The space group is No. 115. The calculation puts the density at 7.29 Mg/m³.

a = 4.623 Å, b = 4.623 Å, c = 6.584 Å
α = 90.00°, β = 90.00°, γ = 90.00°
Element x y z (fractional)
1 Na 0.000 0.000 0.000
2 Na 0.500 0.500 0.500
3 Mg 0.000 0.500 0.741
4 Mg 0.500 0.000 0.259
5 Zn 0.000 0.500 0.261
6 Zn 0.500 0.000 0.739
7 Pt 0.000 0.000 0.500
8 Au 0.500 0.500 0.000



DFT (PBE-GGA) results for crystalline TlFePdW at its relaxed geometry.

Values from the calculation:
The space group is No. 216. The calculation puts the density at 14.06 Mg/m³.

a = 4.514 Å, b = 4.514 Å, c = 4.514 Å
α = 60.00°, β = 60.00°, γ = 60.00°
Element x y z (fractional)
1 Tl 0.000 0.000 0.000
2 Fe 0.250 0.250 0.250
3 Pd 0.750 0.750 0.750
4 W 0.500 0.500 0.500



DFT (PBE-GGA) results for crystalline ScSnAuO3 at its relaxed geometry.

Values from the calculation:
The space group is No. 63. The calculation puts the density at 8.39 Mg/m³.

a = 8.625 Å, b = 8.625 Å, c = 6.332 Å
α = 90.00°, β = 90.00°, γ = 159.93°
Element x y z (fractional)
1 Sc 0.000 0.000 0.000
2 Sc 0.000 0.000 0.500
3 Sn 0.335 0.665 0.750
4 Sn 0.665 0.335 0.250
5 Au 0.296 0.704 0.250
6 Au 0.704 0.296 0.750
7 O 0.120 0.880 0.043
8 O 0.120 0.880 0.457
9 O 0.495 0.505 0.250
10 O 0.505 0.495 0.750
11 O 0.880 0.120 0.543
12 O 0.880 0.120 0.957



DFT (PBE-GGA) results for crystalline YPt8N2 at its relaxed geometry.

Values from the calculation:
The space group is No. 12. The calculation puts the density at 16.84 Mg/m³.

a = 6.809 Å, b = 6.809 Å, c = 9.589 Å
α = 130.39°, β = 130.39°, γ = 30.13°
Element x y z (fractional)
1 Y 0.000 0.000 0.000
2 Pt 0.013 0.013 0.373
3 Pt 0.326 0.326 0.332
4 Pt 0.352 0.352 0.661
5 Pt 0.358 0.358 0.082
6 Pt 0.642 0.642 0.918
7 Pt 0.648 0.648 0.339
8 Pt 0.674 0.674 0.668
9 Pt 0.987 0.987 0.627
10 N 0.298 0.298 0.817
11 N 0.702 0.702 0.183



Number 1: final energy -6.62 eV per atom. Number 2: final energy -3.68 eV per atom. Number 3: final energy -6.85 eV per atom. Number 4: final energy -2.58 eV per atom. Number 5: final energy -4.19 eV per atom. Number 6: final energy -3.98 eV per atom. Number 7: final energy -3.80 eV per atom. Number 8: final energy -6.92 eV per atom. Number 9: final energy -2.49 eV per atom. Number 10: final energy -6.65 eV per atom. Number 11: final energy -6.47 eV per atom. Number 12: final energy -6.56 eV per atom.